[1]
# Pr5DyCd3

A geometry-optimized Pr5DyCd3 structure (PBE-GGA, Alexandria).

Computed properties:
DFT formation energy   -0.174 eV per atom
Crystal system   hexagonal
E   -65.62 eV for the cell shown

Unit cell a=7.0830 b=9.5222 c=9.5219 alpha=120.00 beta=90.00 gamma=90.00
Last column: nearest neighbours and their distance in Å.
Fractional coordinates of all 18 atoms:
Pr 0.7500 0.0000 0.3350  3 Cd 3.15-3.22
Pr 0.2500 0.0000 0.6650  3 Cd 3.15-3.22
Pr 0.2500 0.6650 0.0000  3 Cd 3.15-3.22
Pr 0.0000 0.3333 0.6667  8 Pr 3.54-3.63, 6 Cd 3.66
Pr 0.5000 0.3333 0.6667  8 Pr 3.54-3.63, 6 Cd 3.66
Pr 0.5000 0.6667 0.3333  8 Pr 3.54-3.63, 6 Cd 3.66
Pr 0.7500 0.6650 0.6650  3 Cd 3.15-3.22
Pr 0.7500 0.3350 0.0000  3 Cd 3.15-3.22
Pr 0.0000 0.6667 0.3333  8 Pr 3.54-3.63, 6 Cd 3.66
Pr 0.2500 0.3350 0.3350  3 Cd 3.15-3.22
Cd 0.2500 0.3268 0.0000  3 Pr 3.15-3.22
Cd 0.7500 0.6732 0.0000  3 Pr 3.15-3.22
Cd 0.2500 0.6732 0.6732  3 Pr 3.15-3.22
Cd 0.7500 0.0000 0.6732  3 Pr 3.15-3.22
Cd 0.7500 0.3268 0.3268  3 Pr 3.15-3.22
Cd 0.2500 0.0000 0.3268  3 Pr 3.15-3.22
Dy 0.5000 0.0000 0.0000  2 Dy 3.54, 6 Cd 3.58, 6 Pr 3.65
Dy 0.0000 0.0000 0.0000  2 Dy 3.54, 6 Cd 3.58, 6 Pr 3.65

---

[2]
# PrDy2Cd6

A geometry-optimized PrDy2Cd6 structure (PBE-GGA, Alexandria).

Computed properties:
DFT formation energy   -0.322 eV per atom
Crystal system   hexagonal
E   -22.38 eV for the cell shown

Unit cell a=3.4404 b=8.7037 c=8.7037 alpha=120.00 beta=90.00 gamma=90.00
Last column: nearest neighbours and their distance in Å.
Fractional coordinates of all 9 atoms:
Cd 0.5000 0.3366 0.3366  3 Cd 2.84-2.93
Cd 0.5000 0.6634 0.6634  3 Cd 2.84-2.93
Cd 0.5000 0.0000 0.6634  3 Cd 2.84-2.93
Cd 0.5000 0.0000 0.3366  3 Cd 2.84-2.93
Cd 0.5000 0.3366 0.0000  3 Cd 2.84-2.93
Cd 0.5000 0.6634 0.0000  3 Cd 2.84-2.93
Dy 0.0000 0.6667 0.3333  12 Cd 3.36, 2 Dy 3.44
Dy 0.0000 0.3333 0.6667  12 Cd 3.36, 2 Dy 3.44
Pr 0.0000 0.0000 0.0000  12 Cd 3.40, 2 Pr 3.44

---

[3]
# Pr4Dy5Cd

A geometry-optimized Pr4Dy5Cd structure (PBE-GGA, Alexandria).

Computed properties:
DFT formation energy   0.095 eV per atom
Crystal system   tetragonal
Energy above the most stable polymorph in this dataset   144 meV/atom
E   -42.09 eV for the cell shown

Unit cell a=5.7997 b=8.1716 c=8.1716 alpha=82.77 beta=69.21 gamma=69.21
Last column: nearest neighbours and their distance in Å.
Fractional coordinates of all 10 atoms:
Pr 0.1510 0.3158 0.3159  5 Dy 3.42-3.74, 1 Cd 3.82
Pr 0.7826 0.6842 0.6841  5 Dy 3.42-3.74, 1 Cd 3.82
Pr 0.4668 0.6841 0.3158  5 Dy 3.42-3.74, 1 Cd 3.82
Pr 0.4668 0.3159 0.6842  5 Dy 3.42-3.74, 1 Cd 3.82
Dy 0.7715 0.0001 0.3665  1 Cd 3.07, 1 Dy 3.30, 2 Pr 3.42
Dy 0.1380 0.6335 0.0001  1 Cd 3.07, 1 Dy 3.30, 2 Pr 3.42
Dy 0.7716 0.3665 0.9999  1 Cd 3.07, 1 Dy 3.30, 2 Pr 3.42
Dy 0.6527 0.0000 0.0000  2 Cd 2.79-3.01
Dy 0.1380 0.9999 0.6335  1 Cd 3.07, 1 Dy 3.30, 2 Pr 3.42
Cd 0.1714 0.0000 0.0000  6 Dy 2.79-3.07

---

[4]
# Pr6DyCd

A geometry-optimized Pr6DyCd structure (PBE-GGA, Alexandria).

Computed properties:
DFT formation energy   -0.046 eV per atom
Crystal system   tetragonal
Energy above the most stable polymorph in this dataset   0 meV/atom
E   -34.57 eV for the cell shown

Unit cell a=5.0766 b=5.0766 c=10.3483 alpha=90.00 beta=90.00 gamma=90.00
Last column: nearest neighbours and their distance in Å.
Fractional coordinates of all 8 atoms:
Pr 0.0000 0.5000 0.2453  8 Pr 3.59-3.66, 2 Cd 3.59, 2 Dy 3.66
Pr 0.5000 0.0000 0.2453  8 Pr 3.59-3.66, 2 Cd 3.59, 2 Dy 3.66
Pr 0.5000 0.0000 0.7547  8 Pr 3.59-3.66, 2 Cd 3.59, 2 Dy 3.66
Pr 0.5000 0.5000 0.0000  4 Cd 3.59, 8 Pr 3.59
Pr 0.0000 0.5000 0.7547  8 Pr 3.59-3.66, 2 Cd 3.59, 2 Dy 3.66
Pr 0.5000 0.5000 0.5000  4 Dy 3.59, 8 Pr 3.66
Dy 0.0000 0.0000 0.5000  12 Pr 3.59-3.66
Cd 0.0000 0.0000 0.0000  12 Pr 3.59

---

[5]
# PrDy2Cd

A geometry-optimized PrDy2Cd structure (PBE-GGA, Alexandria).

Computed properties:
DFT formation energy   -0.146 eV per atom
Crystal system   tetragonal
Energy above the most stable polymorph in this dataset   0 meV/atom
E   -15.48 eV for the cell shown

Unit cell a=3.6721 b=3.6721 c=8.9230 alpha=90.00 beta=90.00 gamma=90.00
Last column: nearest neighbours and their distance in Å.
Fractional coordinates of all 4 atoms:
Pr 0.5000 0.5000 0.5000  8 Dy 3.62, 4 Pr 3.67
Dy 0.0000 0.0000 0.2177  4 Cd 3.24, 4 Pr 3.62
Dy 0.0000 0.0000 0.7823  4 Cd 3.24, 4 Pr 3.62
Cd 0.5000 0.5000 0.0000  8 Dy 3.24

---

[6]
# PrDy3Cd6

A geometry-optimized PrDy3Cd6 structure (PBE-GGA, Alexandria).

Computed properties:
DFT formation energy   -0.287 eV per atom
Crystal system   monoclinic
E   -53.89 eV for the cell shown

Unit cell a=5.2201 b=9.2416 c=11.1976 alpha=106.51 beta=90.00 gamma=90.00
Last column: nearest neighbours and their distance in Å.
Fractional coordinates of all 20 atoms:
Pr 0.2500 0.9410 0.6124  8 Cd 3.18-3.41
Pr 0.7500 0.0590 0.3876  8 Cd 3.18-3.41
Dy 0.2500 0.7619 0.0011  8 Cd 3.12-3.33
Dy 0.7500 0.6481 0.2005  8 Cd 3.15-3.31
Dy 0.7500 0.2381 0.9989  8 Cd 3.12-3.33
Dy 0.2500 0.3519 0.7995  8 Cd 3.15-3.31
Dy 0.7500 0.4728 0.6079  8 Cd 3.12-3.41
Dy 0.2500 0.5272 0.3921  8 Cd 3.12-3.41
Cd 0.2500 0.0544 0.9082  3 Cd 3.11-3.22, 4 Dy 3.12-3.31, 1 Pr 3.18
Cd 0.7500 0.8546 0.8021  8 Cd 3.11-3.36
Cd 0.2500 0.4517 0.0963  7 Dy 3.19-3.33, 1 Cd 3.34
Cd 0.2500 0.1454 0.1979  8 Cd 3.11-3.36
Cd 0.7500 0.9456 0.0918  3 Cd 3.11-3.22, 4 Dy 3.12-3.31, 1 Pr 3.18
Cd 0.7500 0.5483 0.9037  7 Dy 3.19-3.33, 1 Cd 3.34
Cd 0.2500 0.2517 0.5062  4 Dy 3.15-3.31, 3 Pr 3.23-3.41, 1 Cd 3.31
Cd 0.2500 0.8379 0.3017  4 Dy 3.17-3.30, 3 Pr 3.29-3.34, 1 Cd 3.36
Cd 0.7500 0.3506 0.2907  5 Dy 3.12-3.41, 1 Pr 3.18, 2 Cd 3.22
Cd 0.7500 0.7483 0.4938  4 Dy 3.15-3.31, 3 Pr 3.23-3.41, 1 Cd 3.31
Cd 0.2500 0.6494 0.7093  5 Dy 3.12-3.41, 1 Pr 3.18, 2 Cd 3.22
Cd 0.7500 0.1621 0.6983  4 Dy 3.17-3.30, 3 Pr 3.29-3.34, 1 Cd 3.36

---

[7]
# Pr3DyCd

A geometry-optimized Pr3DyCd structure (PBE-GGA, Alexandria).

Computed properties:
DFT formation energy   -0.034 eV per atom
Crystal system   monoclinic
Energy above the most stable polymorph in this dataset   70 meV/atom
E   -80.09 eV for the cell shown

Unit cell a=6.4861 b=10.1591 c=10.1591 alpha=83.09 beta=100.25 gamma=100.25
Last column: nearest neighbours and their distance in Å.
Fractional coordinates of all 20 atoms:
Pr 0.6288 0.1311 0.2689  2 Cd 3.42-3.44, 7 Pr 3.43-3.75, 1 Dy 3.51
Pr 0.6223 0.3732 0.9964  5 Pr 3.27-3.64, 2 Cd 3.34-3.37, 1 Dy 3.43
Pr 0.1223 0.9964 0.3732  5 Pr 3.27-3.64, 2 Cd 3.34-3.37, 1 Dy 3.43
Pr 0.3712 0.8689 0.7311  2 Cd 3.42-3.44, 7 Pr 3.43-3.75, 1 Dy 3.51
Pr 0.0115 0.3368 0.4624  7 Pr 3.43-3.80, 4 Dy 3.50-3.82
Pr 0.5115 0.4624 0.3368  7 Pr 3.43-3.80, 4 Dy 3.50-3.82
Pr 0.3777 0.6268 0.0036  5 Pr 3.27-3.64, 2 Cd 3.34-3.37, 1 Dy 3.43
Pr 0.8777 0.0036 0.6268  5 Pr 3.27-3.64, 2 Cd 3.34-3.37, 1 Dy 3.43
Pr 0.8712 0.7311 0.8689  2 Cd 3.42-3.44, 7 Pr 3.43-3.75, 1 Dy 3.51
Pr 0.4885 0.5376 0.6632  7 Pr 3.43-3.80, 4 Dy 3.50-3.82
Pr 0.9885 0.6632 0.5376  7 Pr 3.43-3.80, 4 Dy 3.50-3.82
Pr 0.1288 0.2689 0.1311  2 Cd 3.42-3.44, 7 Pr 3.43-3.75, 1 Dy 3.51
Cd 0.7500 0.8701 0.1299  3 Cd 2.99-3.28, 2 Dy 3.31, 2 Pr 3.34
Cd 0.2500 0.9082 0.0918  3 Cd 2.99-3.28
Cd 0.2500 0.1299 0.8701  3 Cd 2.99-3.28, 2 Dy 3.31, 2 Pr 3.34
Cd 0.7500 0.0918 0.9082  3 Cd 2.99-3.28
Dy 0.5012 0.2059 0.6080  2 Cd 3.31-3.36, 6 Pr 3.43-3.68
Dy 0.4988 0.7941 0.3920  2 Cd 3.31-3.36, 6 Pr 3.43-3.68
Dy 0.0012 0.6080 0.2059  2 Cd 3.31-3.36, 6 Pr 3.43-3.68
Dy 0.9988 0.3920 0.7941  2 Cd 3.31-3.36, 6 Pr 3.43-3.68

---

[8]
# Pr12Dy3Cd5

A geometry-optimized Pr12Dy3Cd5 structure (PBE-GGA, Alexandria).

Computed properties:
DFT formation energy   0.504 eV per atom
Crystal system   cubic
E   -262.66 eV for the cell shown

Unit cell a=16.2443 b=16.2443 c=16.2443 alpha=109.47 beta=109.47 gamma=109.47
Last column: nearest neighbours and their distance in Å.
Fractional coordinates of all 80 atoms:
Pr 0.1285 0.4069 0.0722  2 Cd 3.11, 1 Dy 3.33
Pr 0.0722 0.9069 0.1285  2 Cd 3.11, 1 Dy 3.33
Pr 0.4437 0.7784 0.8715  2 Cd 3.11, 1 Dy 3.33
Pr 0.5931 0.8715 0.4278  2 Cd 3.11, 1 Dy 3.33
Pr 0.0563 0.6285 0.7216  2 Cd 3.11, 1 Dy 3.33
Pr 0.4069 0.2784 0.3347  2 Cd 3.11, 1 Dy 3.33
Pr 0.8347 0.9278 0.0563  2 Cd 3.11, 1 Dy 3.33
Pr 0.1285 0.7216 0.5563  2 Cd 3.11, 1 Dy 3.33
Pr 0.5563 0.2216 0.1285  2 Cd 3.11, 1 Dy 3.33
Pr 0.5722 0.9437 0.6653  2 Cd 3.11, 1 Dy 3.33
Pr 0.1653 0.0931 0.7216  2 Cd 3.11, 1 Dy 3.33
Pr 0.7216 0.1285 0.0563  2 Cd 3.11, 1 Dy 3.33
Pr 0.7784 0.3347 0.9069  2 Cd 3.11, 1 Dy 3.33
Pr 0.9437 0.3715 0.2784  2 Cd 3.11, 1 Dy 3.33
Pr 0.8715 0.2784 0.4437  2 Cd 3.11, 1 Dy 3.33
Pr 0.6285 0.0563 0.2216  2 Cd 3.11, 1 Dy 3.33
Pr 0.0931 0.9278 0.3715  2 Cd 3.11, 1 Dy 3.33
Pr 0.0931 0.1653 0.2216  2 Cd 3.11, 1 Dy 3.33
Pr 0.9278 0.0931 0.8715  2 Cd 3.11, 1 Dy 3.33
Pr 0.4069 0.1285 0.5722  2 Cd 3.11, 1 Dy 3.33
Pr 0.3347 0.5563 0.4278  2 Cd 3.11, 1 Dy 3.33
Pr 0.2216 0.5563 0.6285  2 Cd 3.11, 1 Dy 3.33
Pr 0.0563 0.4278 0.8347  2 Cd 3.11, 1 Dy 3.33
Pr 0.9069 0.0722 0.6285  2 Cd 3.11, 1 Dy 3.33
Pr 0.2784 0.4069 0.8347  2 Cd 3.11, 1 Dy 3.33
Pr 0.6653 0.4437 0.5722  2 Cd 3.11, 1 Dy 3.33
Pr 0.4278 0.3715 0.5931  2 Cd 3.11, 1 Dy 3.33
Pr 0.7216 0.5931 0.1653  2 Cd 3.11, 1 Dy 3.33
Pr 0.3715 0.9437 0.7784  2 Cd 3.11, 1 Dy 3.33
Pr 0.9278 0.8347 0.5563  2 Cd 3.11, 1 Dy 3.33
Pr 0.7784 0.4437 0.3715  2 Cd 3.11, 1 Dy 3.33
Pr 0.0722 0.1653 0.4437  2 Cd 3.11, 1 Dy 3.33
Pr 0.2216 0.6653 0.0931  2 Cd 3.11, 1 Dy 3.33
Pr 0.9069 0.8347 0.7784  2 Cd 3.11, 1 Dy 3.33
Pr 0.5931 0.7216 0.6653  2 Cd 3.11, 1 Dy 3.33
Pr 0.8715 0.5931 0.9278  2 Cd 3.11, 1 Dy 3.33
Pr 0.4278 0.0563 0.3347  2 Cd 3.11, 1 Dy 3.33
Pr 0.3347 0.7784 0.4069  2 Cd 3.11, 1 Dy 3.33
Pr 0.5563 0.3347 0.9278  2 Cd 3.11, 1 Dy 3.33
Pr 0.6285 0.5722 0.9069  2 Cd 3.11, 1 Dy 3.33
Pr 0.3715 0.4278 0.0931  2 Cd 3.11, 1 Dy 3.33
Pr 0.5722 0.6285 0.4069  2 Cd 3.11, 1 Dy 3.33
Pr 0.9437 0.5722 0.1653  2 Cd 3.11, 1 Dy 3.33
Pr 0.1653 0.0722 0.9437  2 Cd 3.11, 1 Dy 3.33
Pr 0.2784 0.8715 0.9437  2 Cd 3.11, 1 Dy 3.33
Pr 0.6653 0.2216 0.5931  2 Cd 3.11, 1 Dy 3.33
Pr 0.8347 0.9069 0.2784  2 Cd 3.11, 1 Dy 3.33
Pr 0.4437 0.6653 0.0722  2 Cd 3.11, 1 Dy 3.33
Cd 0.0000 0.5000 0.0000  6 Pr 3.11
Cd 0.2500 0.3750 0.6250  4 Pr 3.11
Cd 0.1250 0.3750 0.2500  4 Pr 3.11
Cd 0.2500 0.8750 0.1250  4 Pr 3.11
Cd 0.8750 0.2500 0.6250  4 Pr 3.11
Cd 0.3750 0.2500 0.1250  4 Pr 3.11
Cd 0.7500 0.6250 0.3750  4 Pr 3.11
Cd 0.0000 0.5000 0.5000  6 Pr 3.11
Cd 0.0000 0.0000 0.5000  6 Pr 3.11
Cd 0.6250 0.8750 0.2500  4 Pr 3.11
Cd 0.5000 0.0000 0.5000  6 Pr 3.11
Cd 0.5000 0.0000 0.0000  6 Pr 3.11
Cd 0.6250 0.7500 0.8750  4 Pr 3.11
Cd 0.7500 0.1250 0.8750  4 Pr 3.11
Cd 0.1250 0.7500 0.3750  4 Pr 3.11
Cd 0.0000 0.0000 0.0000  6 Pr 3.11
Cd 0.5000 0.5000 0.0000  6 Pr 3.11
Cd 0.3750 0.1250 0.7500  4 Pr 3.11
Cd 0.5000 0.5000 0.5000  6 Pr 3.11
Cd 0.8750 0.6250 0.7500  4 Pr 3.11
Dy 0.3750 0.6250 0.2500  8 Pr 3.33-3.60
Dy 0.7500 0.3750 0.1250  8 Pr 3.33-3.60
Dy 0.2500 0.1250 0.3750  8 Pr 3.33-3.60
Dy 0.8750 0.7500 0.1250  8 Pr 3.33-3.60
Dy 0.8750 0.1250 0.2500  8 Pr 3.33-3.60
Dy 0.1250 0.8750 0.7500  8 Pr 3.33-3.60
Dy 0.3750 0.7500 0.6250  8 Pr 3.33-3.60
Dy 0.6250 0.2500 0.3750  8 Pr 3.33-3.60
Dy 0.1250 0.2500 0.8750  8 Pr 3.33-3.60
Dy 0.6250 0.3750 0.7500  8 Pr 3.33-3.60
Dy 0.7500 0.8750 0.6250  8 Pr 3.33-3.60
Dy 0.2500 0.6250 0.8750  8 Pr 3.33-3.60

---

[9]
# Pr6DyCd

A geometry-optimized Pr6DyCd structure (PBE-GGA, Alexandria).

Computed properties:
DFT formation energy   0.399 eV per atom
Crystal system   triclinic
Energy above the most stable polymorph in this dataset   446 meV/atom
E   -31.00 eV for the cell shown

Unit cell a=6.6161 b=6.6587 c=9.2035 alpha=68.75 beta=69.29 gamma=59.92
Last column: nearest neighbours and their distance in Å.
Fractional coordinates of all 8 atoms:
Pr 0.9632 0.5716 0.2884  1 Dy 3.16, 1 Cd 3.16, 2 Pr 3.51-3.52
Pr 0.4313 0.8141 0.7149  1 Dy 3.15, 1 Cd 3.17, 2 Pr 3.50-3.51
Pr 0.0368 0.4284 0.7116  1 Dy 3.16, 1 Cd 3.16, 2 Pr 3.51-3.52
Pr 0.5687 0.1859 0.2851  1 Dy 3.15, 1 Cd 3.17, 2 Pr 3.50-3.51
Pr 0.1830 0.9701 0.2861  1 Dy 3.15, 1 Cd 3.17, 2 Pr 3.50-3.52
Pr 0.8170 0.0299 0.7139  1 Dy 3.15, 1 Cd 3.17, 2 Pr 3.50-3.52
Cd 0.0000 0.0000 0.0000  6 Pr 3.16-3.17
Dy 0.5000 0.5000 0.5000  6 Pr 3.15-3.16

---

[10]
# Pr3DyCd2

A geometry-optimized Pr3DyCd2 structure (PBE-GGA, Alexandria).

Computed properties:
DFT formation energy   -0.136 eV per atom
Crystal system   monoclinic
Energy above the most stable polymorph in this dataset   55 meV/atom
E   -43.17 eV for the cell shown

Unit cell a=5.0179 b=9.5875 c=9.2822 alpha=121.09 beta=105.75 gamma=90.00
Last column: nearest neighbours and their distance in Å.
Fractional coordinates of all 12 atoms:
Pr 0.5000 0.2500 0.0000  4 Cd 3.43, 4 Dy 3.47, 4 Pr 3.61-3.62
Pr 0.5000 0.7500 0.0000  4 Cd 3.43, 4 Dy 3.47, 4 Pr 3.61-3.62
Pr 0.8274 0.0775 0.6551  4 Pr 3.43-3.62, 6 Cd 3.45-3.47, 2 Dy 3.54
Pr 0.8274 0.5775 0.6551  4 Pr 3.43-3.62, 6 Cd 3.45-3.47, 2 Dy 3.54
Pr 0.1726 0.9225 0.3449  4 Pr 3.43-3.62, 6 Cd 3.45-3.47, 2 Dy 3.54
Pr 0.1726 0.4225 0.3449  4 Pr 3.43-3.62, 6 Cd 3.45-3.47, 2 Dy 3.54
Cd 0.6631 0.1631 0.3262  8 Pr 3.43-3.47, 2 Dy 3.51-3.52, 2 Cd 3.63
Cd 0.3369 0.8369 0.6738  8 Pr 3.43-3.47, 2 Dy 3.51-3.52, 2 Cd 3.63
Cd 0.3369 0.3369 0.6738  8 Pr 3.43-3.47, 2 Dy 3.51-3.52, 2 Cd 3.63
Cd 0.6631 0.6631 0.3262  8 Pr 3.43-3.47, 2 Dy 3.51-3.52, 2 Cd 3.63
Dy 0.0000 0.0000 0.0000  8 Pr 3.47-3.54, 4 Cd 3.51-3.52
Dy 0.0000 0.5000 0.0000  8 Pr 3.47-3.54, 4 Cd 3.51-3.52

---

[11]
# Pr3Dy4Cd4

A geometry-optimized Pr3Dy4Cd4 structure (PBE-GGA, Alexandria).

Computed properties:
DFT formation energy   -0.117 eV per atom
Crystal system   orthorhombic
E   -37.69 eV for the cell shown

Unit cell a=5.3413 b=7.3242 c=9.6655 alpha=112.26 beta=106.04 gamma=90.00
Last column: nearest neighbours and their distance in Å.
Fractional coordinates of all 11 atoms:
Cd 0.5000 0.7994 0.0000  1 Cd 2.94, 2 Dy 3.11
Cd 0.1858 0.6858 0.3716  6 Dy 3.02-3.16, 1 Pr 3.17
Cd 0.8142 0.3142 0.6284  6 Dy 3.02-3.16, 1 Pr 3.17
Cd 0.5000 0.2006 0.0000  1 Cd 2.94, 2 Dy 3.11
Dy 0.6800 0.4491 0.3600  4 Cd 3.02-3.16, 1 Dy 3.38
Dy 0.6800 0.9108 0.3600  4 Cd 3.02-3.16, 1 Dy 3.38
Dy 0.3200 0.5509 0.6400  4 Cd 3.02-3.16, 1 Dy 3.38
Dy 0.3200 0.0892 0.6400  4 Cd 3.02-3.16, 1 Dy 3.38
Pr 0.1074 0.1074 0.2148  4 Dy 3.54, 6 Cd 3.56-3.90, 1 Pr 3.67
Pr 0.0000 0.5000 0.0000  6 Cd 3.17-3.46
Pr 0.8926 0.8926 0.7852  4 Dy 3.54, 6 Cd 3.56-3.90, 1 Pr 3.67

---

[12]
# Pr7DyCd4

A geometry-optimized Pr7DyCd4 structure (PBE-GGA, Alexandria).

Computed properties:
DFT formation energy   -0.032 eV per atom
Crystal system   monoclinic
E   -42.10 eV for the cell shown

Unit cell a=5.9155 b=9.3011 c=8.1424 alpha=70.17 beta=68.70 gamma=71.46
Last column: nearest neighbours and their distance in Å.
Fractional coordinates of all 12 atoms:
Cd 0.5402 0.2870 0.6327  4 Pr 3.09-3.29, 1 Cd 3.10
Cd 0.6813 0.6565 0.9809  5 Pr 3.07-3.31, 1 Cd 3.10
Cd 0.4598 0.7130 0.3673  4 Pr 3.09-3.29, 1 Cd 3.10
Cd 0.3187 0.3435 0.0191  5 Pr 3.07-3.31, 1 Cd 3.10
Pr 0.5000 0.0000 0.0000  2 Dy 2.96, 4 Cd 3.07-3.26
Pr 0.0693 0.5922 0.2692  3 Cd 3.24-3.29, 3 Pr 3.47-3.59
Pr 0.2634 0.6937 0.7796  4 Cd 3.09-3.31
Pr 0.2043 0.1158 0.4757  4 Cd 3.54-3.84, 6 Pr 3.56-3.85, 1 Dy 3.85
Pr 0.7366 0.3063 0.2204  4 Cd 3.09-3.31
Pr 0.9307 0.4078 0.7308  3 Cd 3.24-3.29, 3 Pr 3.47-3.59
Pr 0.7957 0.8842 0.5243  4 Cd 3.54-3.84, 6 Pr 3.56-3.85, 1 Dy 3.85
Dy 0.0000 0.0000 0.0000  2 Pr 2.96

---

Number 1 is which compound?
Pr5DyCd3